The following is a DFT calculation (PBE+U) of a geometry-optimized CaNd2Ti2Mn2O12 structure.

Lattice parameters (Å, degrees): 5.3864 5.4341 7.6770 89.84 89.95 89.55
Positions (direct):
1 Ca 0.0000 0.0000 0.0000
2 Nd 0.0135 0.0722 0.5008
3 Nd 0.5127 0.4929 0.0004
4 Ti 0.0079 0.5405 0.7349
5 Ti 0.5048 0.0187 0.2641
6 Mn 0.0052 0.5329 0.2503
7 Mn 0.5048 0.0283 0.7517
8 O 0.0744 0.5417 0.0052
9 O 0.2069 0.8227 0.2763
10 O 0.2114 0.8283 0.7255
11 O 0.2736 0.3064 0.2806
12 O 0.2760 0.3048 0.7213
13 O 0.4363 0.0468 0.9965
14 O 0.5717 0.0181 0.5031
15 O 0.7234 0.7575 0.7980
16 O 0.7281 0.7542 0.2039
17 O 0.7805 0.2457 0.7885
18 O 0.7885 0.2526 0.2132
19 O 0.9423 0.5256 0.4977

Calculated values
As for the space group: No. 1. As for the total energy: -7.9706 eV/atom.